Below is a relaxed Ag2Pt3 crystal, with properties calculated at the PBEsol level.

Calculated values
raw total energy = -27.29 eV/cell
mass density = 17.16 g/cm3
E_form = 0.22 eV per formula unit
excess energy over the best structure of this formula in the dataset = 64 meV/atom
symmetry = No. 139

a b c (Å): 2.7519 2.7519 10.4170
angles (deg): 97.59 97.59 90.00
Positions (direct):
Pt 0.2976 0.2976 0.5952
Pt 0.5000 0.5000 0.0000
Pt 0.7024 0.7024 0.4048
Ag 0.8993 0.8993 0.7986
Ag 0.1007 0.1007 0.2014

---

Below is a relaxed Ag2Pt3 crystal, with properties calculated at the PBEsol level.

Calculated values
raw total energy = -54.53 eV/cell
mass density = 17.18 g/cm3
E_form = 0.25 eV per formula unit
excess energy over the best structure of this formula in the dataset = 69 meV/atom
symmetry = No. 10

a b c (Å): 4.0012 6.0886 6.3597
angles (deg): 92.09 90.00 90.00
Positions (direct):
Ag 0.0000 0.7979 0.5997
Ag 0.0000 0.2021 0.4003
Ag 0.5000 0.5000 0.5000
Ag 0.0000 0.0000 0.0000
Pt 0.0000 0.6032 0.1940
Pt 0.5000 0.6946 0.9045
Pt 0.5000 0.9018 0.2988
Pt 0.0000 0.3968 0.8060
Pt 0.5000 0.0982 0.7012
Pt 0.5000 0.3054 0.0955

---

Below is a relaxed AgPt4 crystal, with properties calculated at the PBEsol level.

Calculated values
raw total energy = -31.06 eV/cell
mass density = 19.40 g/cm3
E_form = 0.11 eV per formula unit
excess energy over the best structure of this formula in the dataset = 21 meV/atom
symmetry = No. 12

a b c (Å): 2.7445 4.8239 6.2936
angles (deg): 74.43 77.41 73.47
Positions (direct):
Pt 0.6039 0.2006 0.5916
Pt 0.1975 0.4067 0.1984
Pt 0.3961 0.7994 0.4084
Pt 0.8025 0.5933 0.8016
Ag 0.0000 0.0000 0.0000

---

Below is a relaxed Ag2Pt3 crystal, with properties calculated at the PBEsol level.

Calculated values
raw total energy = -54.70 eV/cell
mass density = 17.18 g/cm3
E_form = 0.17 eV per formula unit
excess energy over the best structure of this formula in the dataset = 53 meV/atom
symmetry = No. 2

a b c (Å): 4.7834 4.8658 7.4204
angles (deg): 108.33 101.63 100.52
Positions (direct):
Ag 0.7534 0.5005 0.2467
Ag 0.8492 0.6997 0.9504
Ag 0.2466 0.4995 0.7533
Ag 0.1508 0.3003 0.0496
Pt 0.5401 0.0862 0.8426
Pt 0.4599 0.9138 0.1574
Pt 0.9407 0.8961 0.6458
Pt 0.0593 0.1039 0.3542
Pt 0.6456 0.2939 0.5471
Pt 0.3544 0.7061 0.4529

---

Below is a relaxed Ag5Pt7 crystal, with properties calculated at the PBEsol level.

Calculated values
raw total energy = -64.85 eV/cell
mass density = 17.01 g/cm3
E_form = 0.45 eV per formula unit
excess energy over the best structure of this formula in the dataset = 41 meV/atom
symmetry = No. 44

a b c (Å): 3.9712 7.4002 7.4002
angles (deg): 64.38 74.44 74.44
Positions (direct):
Ag 0.9988 0.0012 0.0012
Ag 0.6712 0.3288 0.3288
Ag 0.3356 0.1644 0.1644
Ag 0.1664 0.5830 0.0841
Ag 0.1664 0.0841 0.5830
Pt 0.4982 0.2590 0.7446
Pt 0.4982 0.7446 0.2590
Pt 0.8354 0.4243 0.9049
Pt 0.8354 0.9049 0.4243
Pt 0.3327 0.6673 0.6673
Pt 0.6631 0.8369 0.8369
Pt 0.9985 0.5015 0.5015

---

Below is a relaxed Ag5Pt6 crystal, with properties calculated at the PBEsol level.

Calculated values
raw total energy = -57.88 eV/cell
mass density = 16.59 g/cm3
E_form = 0.45 eV per formula unit
excess energy over the best structure of this formula in the dataset = 14 meV/atom
symmetry = No. 1

a b c (Å): 4.8860 6.2446 6.2682
angles (deg): 107.88 97.52 105.00
Positions (direct):
Pt 0.9045 0.6248 0.1859
Pt 0.7324 0.9134 0.5449
Pt 0.1852 0.7305 0.6343
Pt 0.8229 0.2756 0.3669
Pt 0.0804 0.3653 0.8121
Pt 0.5478 0.1820 0.9098
Ag 0.0014 0.0000 0.0002
Ag 0.4531 0.8173 0.0909
Ag 0.6349 0.5484 0.7293
Ag 0.3647 0.4538 0.2705
Ag 0.2727 0.0888 0.4551